(1)
## Ba2Cd3Pb4Au (PBE-GGA)

Data for a geometry-optimized Ba2Cd3Pb4Au structure.

a b c (Å): 5.055 5.055 12.399
angles (deg): 90.00 90.00 90.00
Space group P-4m2 (No. 115)
Inequivalent atoms, fractional coordinates:
Ba 0.000 0.500 0.232 (multiplicity 2)
Cd 0.000 0.000 0.000 (multiplicity 1)
Cd 0.000 0.500 0.641 (multiplicity 2)
Pb 0.000 0.000 0.500 (multiplicity 1)
Pb 0.000 0.500 0.875 (multiplicity 2)
Pb 0.500 0.500 0.500 (multiplicity 1)
Au 0.500 0.500 0.000 (multiplicity 1)

Output
* energy of formation from the pure elements: -0.34 eV/atom
* uncorrected energy: -2.8084 eV/atom
* total magnetic moment: 0.0 μB per formula unit
* calculated volume: 31.68 Å³/atom

=====

(2)
## Ba3Cd2Pb2Au4 (PBE-GGA)

Data for a geometry-optimized Ba3Cd2Pb2Au4 structure.

a b c (Å): 4.9751 4.9751 16.2172
angles (deg): 90.00 90.00 120.00
Space group P-3m1 (No. 164)
Inequivalent atoms, fractional coordinates:
Ba 0.0000 0.0000 0.0000 (multiplicity 1)
Ba 0.0000 0.0000 0.2702 (multiplicity 2)
Cd 0.3333 0.6667 0.1351 (multiplicity 2)
Pb 0.3333 0.6667 0.5718 (multiplicity 2)
Au 0.3333 0.6667 0.3895 (multiplicity 2)
Au 0.3333 0.6667 0.8705 (multiplicity 2)

Output
* energy of formation from the pure elements: -0.46 eV/atom
* uncorrected energy: -3.0166 eV/atom
* total magnetic moment: 0.0 μB per formula unit
* calculated volume: 31.60 Å³/atom

=====

(3)
## Ba2CdPb6Au (PBE-GGA)

Data for a geometry-optimized Ba2CdPb6Au structure.

a b c (Å): 7.6696 7.6696 41.4275
angles (deg): 90.00 90.00 120.00
Space group R-3m (No. 166, hexagonal axes)
Inequivalent atoms, fractional coordinates:
Ba 0.0000 0.0000 0.1135 (multiplicity 6)
Ba 0.0000 0.0000 0.2893 (multiplicity 6)
Cd 0.0000 0.0000 0.4287 (multiplicity 6)
Pb 0.0404 0.5202 0.2951 (multiplicity 18)
Pb 0.0560 0.5280 0.8671 (multiplicity 18)
Au 0.0000 0.0000 0.0000 (multiplicity 3)
Au 0.0000 0.0000 0.5000 (multiplicity 3)

Output
* energy of formation from the pure elements: -0.18 eV/atom
* uncorrected energy: -3.2097 eV/atom
* total magnetic moment: 0.0 μB per formula unit
* calculated volume: 35.17 Å³/atom

=====

(4)
## BaCd2PbAu (PBE-GGA)

Data for a geometry-optimized BaCd2PbAu structure.

a b c (Å): 4.799 4.807 12.671
angles (deg): 90.00 90.00 90.00
Space group Imm2 (No. 44)
Inequivalent atoms, fractional coordinates:
Ba 0.000 0.000 0.000 (multiplicity 2)
Cd 0.000 0.000 0.385 (multiplicity 2)
Cd 0.000 0.500 0.240 (multiplicity 2)
Pb 0.000 0.500 0.738 (multiplicity 2)
Au 0.000 0.000 0.604 (multiplicity 2)

Output
* energy of formation from the pure elements: -0.39 eV/atom
* uncorrected energy: -2.5338 eV/atom
* total magnetic moment: 0.0 μB per formula unit
* calculated volume: 29.23 Å³/atom

=====

Among the records above, which one has the highest energy of formation from the pure elements?
Ba2CdPb6Au